Density functional theory data (PBE with a Hubbard U) for a geometry-optimized Rb3Y3MoO8 structure.

Cell lengths 6.825, 6.878, 7.701 Å; angles 116.49, 90.00, 119.75 degrees
Site moments in Bohr magnetons follow the coordinates.
Fractional positions:
Y  0.500  0.500  0.500  0.01
Y  0.000  0.500  0.500  0.01
Y  0.500  0.000  0.500  0.00
O  0.206  0.956  0.664  0.01
O  0.786  0.572  0.333  0.03
O  0.251  0.044  0.336  0.01
O  0.214  0.428  0.667  0.03
O  0.278  0.555  0.328  0.00
O  0.749  0.956  0.664  0.01
O  0.722  0.445  0.672  0.00
O  0.794  0.044  0.336  0.01
Rb  0.500  0.500  0.000  0.00
Rb  0.000  0.000  0.000  0.00
Rb  0.000  0.500  0.000  0.00
Mo  0.000  0.000  0.500  1.84

Computed properties:
The calculated volume is 17.95 Å³ per atom. The calculation puts the electronic total energy at -106.79 eV/f.u.